Record 1
VASP calculation (PBE) on crystalline Ba3ZnHg2Au6 at its relaxed geometry.

The structure in POSCAR format:
```
Ba3ZnHg2Au6
1.0
6.6814 0.0000 0.0000
-3.3407 5.7863 0.0000
0.0000 0.0000 8.8436
Au Hg Zn Ba
6 2 1 3
Direct
0.8185 0.6370 0.6868
0.6370 0.8185 0.3132
0.8185 0.1815 0.6868
0.3630 0.1815 0.6868
0.1815 0.8185 0.3132
0.1815 0.3630 0.3132
0.6667 0.3333 0.9587
0.3333 0.6667 0.0413
0.0000 0.0000 0.5000
0.3333 0.6667 0.6460
0.0000 0.0000 0.0000
0.6667 0.3333 0.3540
```

The space group is P-3m1. Its crystal system is trigonal.

Record 2
VASP calculation (PBE) on crystalline Tb2Pm3Pr6Cd at its relaxed geometry.

The structure in POSCAR format:
```
Tb2Pm3Pr6Cd
1.0
-2.5233 -4.8382 -3.1755
6.2425 0.9396 -0.0856
-0.1076 -5.5002 10.5900
Pr Tb Pm Cd
6 2 3 1
Direct
0.7510 0.7510 0.2464
0.4089 0.0796 0.2443
0.9204 0.5911 0.7557
0.5911 0.9204 0.7557
0.0796 0.4089 0.2443
0.2490 0.2490 0.7536
0.3336 0.6664 0.0000
0.6664 0.3336 0.0000
0.8328 0.1672 0.5000
0.5000 0.5000 0.5000
0.1672 0.8328 0.5000
0.0000 0.0000 0.0000
```

The space group is C2/m. Its crystal system is monoclinic.

no.,ΔH_f (0 K) (eV/atom),theoretical density (g/cm3)
1,-0.4858,10.01
2,0.0013,7.02